# 1
A plane-wave DFT calculation with PBE was carried out for crystalline GaPt2Pb2 at its relaxed geometry.

Computed properties:
DFT formation energy   0.00 eV/atom
Crystal system   tetragonal
Total magnetization   0.000 μB/cell
Excess energy over the best structure of this formula in the dataset   158 meV/atom
N(E_F)   2.74 states/eV/f.u.

```
GaPt2Pb2
1.0
-1.9614 1.9614 7.8087
1.9614 -1.9614 7.8087
1.9614 1.9614 -7.8087
Ga Pt Pb
1 2 2
direct
0.0000 0.0000 0.0000
0.2500 0.7500 0.5000
0.7500 0.2500 0.5000
0.3822 0.3822 0.0000
0.6178 0.6178 0.0000
```

# 2
A plane-wave DFT calculation with PBE was carried out for crystalline Ga2PtPb4 at its relaxed geometry.

Computed properties:
DFT formation energy   0.22 eV/atom
Crystal system   tetragonal
Total magnetization   0.000 μB/cell
N(E_F)   4.16 states/eV/f.u.

```
Ga2PtPb4
1.0
-2.7573 2.7573 7.0950
2.7573 -2.7573 7.0950
2.7573 2.7573 -7.0950
Ga Pt Pb
2 1 4
direct
0.1019 0.1019 0.0000
0.8981 0.8981 0.0000
0.5000 0.5000 0.0000
0.0000 0.5000 0.5000
0.3025 0.3025 0.0000
0.5000 0.0000 0.5000
0.6975 0.6975 0.0000
```